First-principles (PBE) data for a geometry-optimized BeSnS2N structure, as listed in Alexandria via LeMat-Bulk.

Summary:
Total magnetic moment (Bohr magnetons per cell): 0.15
SG: No. 123
Formation energy from raw total energies (eV/atom): 0.361
Fermi-level density of states (states/eV per cell): 2.8

extended XYZ file:
```
5
Lattice="4.7951 0.0000 0.0000 0.0000 4.7951 0.0000 0.0000 0.0000 3.3126" Properties=species:S:1:pos:R:3 pbc="T T T"
Be 0.0000 0.0000 0.0000
Sn 2.3975 2.3975 1.6563
S 0.0000 2.3975 0.0000
S 2.3975 0.0000 0.0000
N 0.0000 0.0000 1.6563
```

First-principles (PBE) data for a geometry-optimized Pm3CuSn2 structure, as listed in Alexandria via LeMat-Bulk.

Summary:
Total magnetic moment (Bohr magnetons per cell): 3.52
SG: No. 62
Calculated formation energy (meV/atom): -614
Fermi-level density of states (states/eV per cell): 21.7

extended XYZ file:
```
24
Lattice="12.3663 0.0000 0.0000 0.0000 4.5274 0.0000 0.0000 0.0000 11.9828" Properties=species:S:1:pos:R:3 pbc="T T T"
Pm 0.6596 1.1319 1.5200
Pm 1.5717 3.3956 6.7323
Pm 2.7145 1.1319 9.5864
Pm 3.4687 3.3956 3.5950
Pm 4.6114 1.1319 0.7409
Pm 5.5235 3.3956 7.5114
Pm 6.8428 1.1319 4.4714
Pm 7.7549 3.3956 11.2419
Pm 8.8976 1.1319 8.3877
Pm 9.6518 3.3956 2.3964
Pm 10.7946 1.1319 5.2505
Pm 11.7067 3.3956 10.4628
Cu 1.5977 1.1319 4.4223
Cu 4.5855 3.3956 10.4137
Cu 7.7808 1.1319 1.5691
Cu 10.7687 3.3956 7.5605
Sn 0.1925 3.3956 3.7909
Sn 2.3408 3.3956 11.9753
Sn 3.8424 1.1319 5.9839
Sn 5.9907 1.1319 9.7823
Sn 6.3757 3.3956 2.2005
Sn 8.5240 3.3956 5.9989
Sn 10.0255 1.1319 0.0075
Sn 12.1738 1.1319 8.1919
```

First-principles (PBE) data for a geometry-optimized CdSbSe2Br structure, as listed in Alexandria via LeMat-Bulk.

Summary:
Total magnetic moment (Bohr magnetons per cell): 0.00
SG: No. 123
Formation energy from raw total energies (eV/atom): 0.131
Fermi-level density of states (states/eV per cell): 4.3

extended XYZ file:
```
5
Lattice="5.3616 0.0000 0.0000 0.0000 5.3616 0.0000 0.0000 0.0000 5.5136" Properties=species:S:1:pos:R:3 pbc="T T T"
Cd 0.0000 0.0000 0.0000
Sb 2.6808 2.6808 2.7568
Se 0.0000 2.6808 2.7568
Se 2.6808 0.0000 2.7568
Br 2.6808 2.6808 0.0000
```

First-principles (PBE) data for a geometry-optimized TaGeNO2 structure, as listed in Alexandria via LeMat-Bulk.

Summary:
Total magnetic moment (Bohr magnetons per cell): 1.73
SG: No. 123
Formation energy from raw total energies (eV/atom): -0.193
Fermi-level density of states (states/eV per cell): 2.6

extended XYZ file:
```
5
Lattice="3.6659 0.0000 0.0000 0.0000 3.6659 0.0000 0.0000 0.0000 3.9500" Properties=species:S:1:pos:R:3 pbc="T T T"
Ta 0.0000 0.0000 0.0000
Ge 1.8330 1.8330 1.9750
N 1.8330 1.8330 0.0000
O 0.0000 1.8330 1.9750
O 1.8330 0.0000 1.9750
```